MnGa2Rh2 | GGA-PBE | relaxed

```
10
Lattice="7.1465 0.0000 0.0000 0.0000 7.1465 0.0000 0.0000 0.0000 2.9448" Properties=species:S:1:pos:R:3 pbc="T T T"
Ga 6.0497 2.4764 1.4724
Ga 2.4764 1.0968 1.4724
Ga 4.6700 6.0497 1.4724
Ga 1.0968 4.6700 1.4724
Mn 0.0000 0.0000 0.0000
Mn 3.5732 3.5732 0.0000
Rh 2.5339 6.1071 0.0000
Rh 1.0394 2.5339 0.0000
Rh 4.6126 1.0394 0.0000
Rh 6.1071 4.6126 0.0000
```

Computed properties:
For the excess energy over the best structure of this formula in the dataset, the calculation gives 0.0 meV per atom. As for the formation energy from the elements: -197 kJ/mol of formula units.

---

PmEr2Hg2 | GGA-PBE | relaxed

```
10
Lattice="3.6896 0.0000 -0.4940 0.0000 5.3451 0.0000 -0.0265 0.0000 13.8131" Properties=species:S:1:pos:R:3 pbc="T T T"
Er 0.8582 4.0088 6.4099
Er 2.8049 1.3363 6.9093
Er 0.1757 4.0088 1.2966
Er 3.4874 1.3363 12.0225
Pm 0.5382 1.3363 3.9752
Pm 3.1249 4.0088 9.3439
Hg 2.0080 1.3363 0.9766
Hg 1.2921 1.3363 9.6552
Hg 1.6551 4.0088 12.3426
Hg 2.3710 4.0088 3.6639
```

Computed properties:
For the excess energy over the best structure of this formula in the dataset, the calculation gives 0.0 meV per atom. As for the formation energy from the elements: -184 kJ/mol of formula units.

---

TcSbAs | GGA-PBE | relaxed

```
3
Lattice="-3.2583 -2.6257 -5.1321 -1.9706 -5.8585 -2.3756 0.7047 4.4323 4.8690" Properties=species:S:1:pos:R:3 pbc="T T T"
Sb -1.5663 -2.5414 -2.2489
Tc -3.4247 -5.5568 -4.9172
As -0.2379 -0.3860 -0.3415
```

Computed properties:
For the excess energy over the best structure of this formula in the dataset, the calculation gives 72.8 meV per atom.

---

La2HPtRh | GGA-PBE | relaxed

```
5
Lattice="5.1406 0.0000 0.0000 0.0000 5.1406 0.0000 0.0000 0.0000 3.7513" Properties=species:S:1:pos:R:3 pbc="T T T"
La 0.0000 2.5703 0.0000
La 2.5703 0.0000 0.0000
H 0.0000 0.0000 0.0000
Rh 2.5703 2.5703 1.8757
Pt 0.0000 0.0000 1.8757
```

Computed properties:
For the excess energy over the best structure of this formula in the dataset, the calculation gives 70.7 meV per atom.

---

Ca4Ce3CrN8 | GGA-PBE | relaxed

```
16
Lattice="6.9129 0.0000 0.0000 0.0000 6.9193 0.0011 -3.4564 -3.4520 4.9051" Properties=species:S:1:pos:R:3 pbc="T T T"
N 0.0000 3.3693 2.2969
N -1.8330 1.5403 4.8436
N 3.4564 0.0980 2.6093
N 1.8330 1.5403 4.8436
N 1.6234 1.9271 0.0626
N 3.4564 3.3479 2.3694
N 5.2895 1.9271 0.0626
N 0.0000 0.1195 2.5368
Ca -1.7282 -1.7260 2.4525
Ca 0.0000 0.0000 0.0000
Ca 3.4564 0.0000 0.0000
Ca 1.7282 -1.7260 2.4525
Ce -1.7282 1.7337 2.4531
Ce 3.4564 3.4597 0.0006
Ce 1.7282 1.7337 2.4531
Cr 0.0000 3.4597 0.0006
```

Computed properties:
The calculation puts the total energy at -7.4328 eV/atom.

---

LiNbPt14 | GGA-PBE | relaxed

```
16
Lattice="-1.0667 3.9896 3.7945 -5.2865 0.3380 -1.8416 -2.1636 -5.5216 5.1974" Properties=species:S:1:pos:R:3 pbc="T T T"
Pt -5.5780 -1.4040 5.0860
Pt -2.3824 1.6228 0.7323
Pt -3.9904 -0.7032 0.6558
Pt -2.4057 -3.5648 4.1109
Pt -1.8827 1.1208 3.4709
Pt -2.9158 3.6177 2.6296
Pt -5.5591 3.7867 1.7088
Pt -3.9977 0.8569 5.2282
Pt -1.3505 -0.8719 1.5761
Pt -6.1075 -0.9689 2.4102
Pt -5.0458 -3.3966 3.1911
Pt -4.5228 1.2890 2.5511
Pt -2.9381 -1.5727 6.0062
Pt -5.0257 1.7918 -0.1885
Li -3.4641 -1.1380 3.3310
Nb -6.6408 1.0259 4.3074
```

Computed properties:
As for the formation energy from the elements: -456 kJ/mol of formula units.

---

Ru2WSe | GGA-PBE | relaxed

```
4
Lattice="5.2098 -0.0048 0.0043 2.4521 4.5966 -0.0043 -3.2853 -3.2064 2.4633" Properties=species:S:1:pos:R:3 pbc="T T T"
Ru 4.0049 2.4001 0.0000
Ru 7.4880 4.4876 0.0000
W 1.4989 1.8431 1.2295
Se 2.8777 -0.4577 1.2338
```

Computed properties:
The calculation puts the total energy at -8.4974 eV/atom.

---

CaGa12Ir6 | GGA-PBE | relaxed

```
19
Lattice="7.2518 -0.0644 -0.0907 -1.8600 7.0095 -0.0907 -1.8600 -2.3959 6.5879" Properties=species:S:1:pos:R:3 pbc="T T T"
Ga 1.9532 -0.1198 2.6230
Ga 5.2614 3.1690 0.6411
Ga -0.6002 1.8626 2.6230
Ga 1.9532 2.5159 0.7514
Ga 1.7659 5.8828 0.6411
Ga -1.7297 1.3802 5.7654
Ga 1.7659 -1.3336 5.7654
Ga -1.7297 4.9883 3.2032
Ga 1.5785 4.6689 3.7835
Ga 4.1319 2.6866 3.7835
Ga 1.5785 2.0333 5.6550
Ga 5.2614 -0.4392 3.2032
Ir 3.3337 0.4048 4.6895
Ir 3.3337 4.2941 1.9278
Ir 3.9659 1.2192 1.7169
Ir -0.4342 3.3300 4.6895
Ir 0.1980 0.2551 4.4787
Ir 0.1980 4.1443 1.7169
Ca 0.0000 0.0000 0.0000
```

Computed properties:
As for the formation energy from the elements: -776 kJ/mol of formula units.

---

NiPtCl2 | GGA-PBE | relaxed

```
4
Lattice="-2.0566 -1.4239 3.8058 -0.4812 -4.4581 0.7970 2.4315 -2.0004 3.2905" Properties=species:S:1:pos:R:3 pbc="T T T"
Cl 0.0000 0.0000 0.0000
Cl -0.0266 -1.9706 1.9733
Pt -0.0797 -5.9118 5.9200
Ni -0.0531 -3.9412 3.9466
```

Computed properties:
For the excess energy over the best structure of this formula in the dataset, the calculation gives 949.2 meV per atom.

---

ZrGaPt6 | GGA-PBE | relaxed

```
8
Lattice="4.0137 0.0000 0.0000 0.0000 4.0137 0.0000 0.0000 0.0000 7.9517" Properties=species:S:1:pos:R:3 pbc="T T T"
Ga 0.0000 0.0000 3.9758
Pt 2.0068 2.0068 3.9758
Pt 0.0000 2.0068 5.9333
Pt 0.0000 2.0068 2.0184
Pt 2.0068 0.0000 2.0184
Pt 2.0068 2.0068 0.0000
Pt 2.0068 0.0000 5.9333
Zr 0.0000 0.0000 0.0000
```

Computed properties:
As for the formation energy from the elements: -589 kJ/mol of formula units.

---

In12Sn5Pb2 | GGA-PBE | relaxed

```
19
Lattice="6.5881 0.0000 0.0000 -3.2941 8.6897 0.5085 0.0000 -2.5431 10.0744" Properties=species:S:1:pos:R:3 pbc="T T T"
In 1.5233 2.9898 1.1592
In 5.0648 2.9898 1.1592
In 1.6241 1.3807 5.9863
In 1.7707 3.1568 9.4237
In -1.6700 4.7660 4.5966
In 3.2941 -0.7008 3.5360
In 0.0000 6.8474 7.0469
In 1.6700 4.7660 4.5966
In 0.0000 -0.6934 8.0561
In 4.9641 1.3807 5.9863
In 3.2941 6.8400 2.5268
In -1.7707 3.1568 9.4237
Sn 0.0000 5.7080 1.9833
Sn 0.0000 3.8263 7.0650
Sn 3.2940 2.3203 3.5179
Sn 3.2941 0.4386 8.5996
Sn 0.0000 -1.2715 5.0372
Pb 4.9053 0.0000 0.0000
Pb 1.6828 0.0000 0.0000
```

Computed properties:
For the excess energy over the best structure of this formula in the dataset, the calculation gives 62.9 meV per atom. As for the formation energy from the elements: 191 kJ/mol of formula units.

---

PrNdTe2Se | GGA-PBE | relaxed

```
10
Lattice="-1.3444 -4.1070 1.0556 2.1768 -1.6188 -3.5257 13.0477 -1.9682 8.9594" Properties=species:S:1:pos:R:3 pbc="T T T"
Te 2.5556 -1.0307 -0.7554
Te 3.1828 -2.6350 3.1749
Te 10.2812 -2.1961 4.5495
Te 10.9083 -3.8003 8.4797
Se 6.9401 -3.8470 3.2447
Se 6.5239 -0.9841 4.4797
Pr 12.9175 -2.5937 6.3598
Pr 0.5464 -2.2373 1.3646
Nd 7.5332 -3.2912 6.1621
Nd 5.9307 -1.5398 1.5622
```

Computed properties:
The calculation puts the total energy at -5.3102 eV/atom.